Tb12Pm5Sm2: relaxed, PBE.

extended XYZ file:
```
19
Lattice="6.217 0.000 0.000 -0.010 9.508 0.000 -1.037 -2.058 10.524" Properties=species:S:1:pos:R:3 pbc="T T T"
Tb -0.004 0.678 1.658
Tb -0.007 3.379 8.307
Tb 1.026 6.789 1.104
Tb 1.032 -0.011 7.761
Tb 2.071 4.745 3.877
Tb 2.060 6.091 7.201
Tb 3.111 1.359 3.322
Tb 3.100 2.705 6.646
Tb 4.139 7.461 2.763
Tb 4.145 0.661 9.419
Tb 5.177 4.072 2.217
Tb 5.175 6.773 8.865
Pm 1.030 8.140 4.429
Pm 2.066 3.394 0.556
Pm 3.109 0.000 0.000
Pm 3.105 4.056 9.968
Pm 4.141 -0.690 6.095
Sm 0.001 2.036 4.984
Sm 5.169 5.414 5.540
```

Calculated values
ΔE to the lowest computed polymorph (kcal/mol of atoms): 0.00
Formation energy from the elements (eV per atom): 0.016
D(E_F) (states/eV/cell): 27.02
Space-group type: P-1, No. 2